#i
A relaxed Hg2Br2F crystal. Source: the Alexandria database, functional PBE.

Cell: 4.4054 4.4844 8.4194 Å, 98.67 90.85 103.59°
Last column: nearest neighbours and their distance in Å.
Positions (direct):
Hg: 0.0000 0.0000 0.0000  1 F 2.07
Hg: 0.3610 0.4776 0.5965  1 F 2.70, 2 Br 2.75
Br: 0.7159 0.3504 0.1532  1 Hg 2.46
Br: 0.8673 0.9755 0.6047  2 Hg 2.75
F: 0.2671 0.7011 0.9035  1 Hg 2.07

Results
Crystal system: triclinic

#ii
A relaxed Hg2Br2F crystal. Source: the Alexandria database, functional PBE.

Cell: 6.6657 6.8449 7.7671 Å, 93.78 91.83 93.90°
Last column: nearest neighbours and their distance in Å.
Positions (direct):
Hg: 0.0000 0.0000 0.0000  1 F 2.34, 2 Br 2.52-2.56
Hg: 0.0400 0.8991 0.4860  2 F 2.38-2.44, 1 Hg 2.62
Hg: 0.3377 0.4300 0.7643  2 Br 2.48, 1 F 2.52
Hg: 0.6600 0.7953 0.5277  1 F 2.20
Br: 0.0850 0.5513 0.9656  1 Hg 2.48
Br: 0.2533 0.1050 0.2494  2 Hg 2.56-2.76
Br: 0.6256 0.3429 0.5866  1 Hg 2.48
Br: 0.6339 0.9085 0.9254  1 Hg 2.52
F: 0.1537 0.0954 0.7496  3 Hg 2.34-2.52
F: 0.3328 0.7302 0.5401  2 Hg 2.20-2.38

Results
Crystal system: triclinic

Here are the energies relative to the best structure, in eV/atom: #i 0.081; #ii 0.000.